Record 1
A plane-wave DFT calculation with PBE was carried out for a relaxed structure of LaPm2Eu.

Unit cell a=8.374 b=8.374 c=8.374 alpha=90.00 beta=90.00 gamma=90.00
Atoms (fractional coordinates):
La 0.000 0.000 0.000
La 0.000 0.500 0.500
La 0.500 0.000 0.500
La 0.500 0.500 0.000
Pm 0.250 0.250 0.250
Pm 0.250 0.250 0.750
Pm 0.250 0.750 0.250
Pm 0.250 0.750 0.750
Pm 0.750 0.250 0.250
Pm 0.750 0.250 0.750
Pm 0.750 0.750 0.250
Pm 0.750 0.750 0.750
Eu 0.000 0.000 0.500
Eu 0.000 0.500 0.000
Eu 0.500 0.000 0.000
Eu 0.500 0.500 0.500

- Polymorph energy (0 for the lowest one): 106 meV per atom
- VASP energy: -6.025 eV per atom
- Total magnetization: 32.8 Bohr magnetons per cell
- Fermi-level density of states: 29.7 states/eV per cell
- DFT formation energy: 150 meV/atom

Record 2
A plane-wave DFT calculation with PBE was carried out for a relaxed structure of LaPmEu.

Unit cell a=3.745 b=3.745 c=9.224 alpha=90.00 beta=90.00 gamma=120.00
Atoms (fractional coordinates):
La 0.000 0.000 0.000
Pm 0.333 0.667 0.683
Eu 0.667 0.333 0.346

- VASP energy: -6.620 eV per atom
- Total magnetization: 7.5 Bohr magnetons per cell
- Fermi-level density of states: 3.7 states/eV per cell
- DFT formation energy: 31 meV/atom